A geometry-optimized UB structure, computed with PBE.

Output
Uncorrected energy ... -8.67 eV/atom
V ... 16.00 Å³ per atom

Geometry as CIF:
```
data_UB
_chemical_formula_sum 'U4 B4'
_symmetry_space_group_name_H-M 'F m -3 m'
_symmetry_Int_Tables_number 225
_symmetry_space_group_name_Hall '-F 4 2 3'
_cell_length_a 5.039
_cell_length_b 5.039
_cell_length_c 5.039
_cell_angle_alpha 90.00
_cell_angle_beta 90.00
_cell_angle_gamma 90.00
loop_
_atom_site_label
_atom_site_fract_x
_atom_site_fract_y
_atom_site_fract_z
_atom_site_occupancy
U1 0.000 0.000 0.000 1
B1 0.000 0.000 0.500 1
```


A geometry-optimized UB structure, computed with PBE.

Output
Uncorrected energy ... -8.27 eV/atom
V ... 14.86 Å³ per atom

Geometry as CIF:
```
data_UB
_chemical_formula_sum 'U1 B1'
_symmetry_space_group_name_H-M 'P -6 m 2'
_symmetry_Int_Tables_number 187
_symmetry_space_group_name_Hall 'P -6 2'
_cell_length_a 2.9008
_cell_length_b 2.9008
_cell_length_c 4.0797
_cell_angle_alpha 90.00
_cell_angle_beta 90.00
_cell_angle_gamma 120.00
loop_
_atom_site_label
_atom_site_fract_x
_atom_site_fract_y
_atom_site_fract_z
_atom_site_occupancy
U1 0.0000 0.0000 0.0000 1
B1 0.3333 0.6667 0.5000 1
```


A geometry-optimized UB structure, computed with PBE.

Output
Uncorrected energy ... -8.02 eV/atom
V ... 20.28 Å³ per atom

Geometry as CIF:
```
data_UB
_chemical_formula_sum 'U4 B4'
_symmetry_space_group_name_H-M 'F -4 3 m'
_symmetry_Int_Tables_number 216
_symmetry_space_group_name_Hall 'F -4 2 3'
_cell_length_a 5.454
_cell_length_b 5.454
_cell_length_c 5.454
_cell_angle_alpha 90.00
_cell_angle_beta 90.00
_cell_angle_gamma 90.00
loop_
_atom_site_label
_atom_site_fract_x
_atom_site_fract_y
_atom_site_fract_z
_atom_site_occupancy
U1 0.000 0.000 0.000 1
B1 0.250 0.250 0.250 1
```


A geometry-optimized UB structure, computed with PBE.

Output
Uncorrected energy ... -8.67 eV/atom
V ... 16.00 Å³ per atom

Geometry as CIF:
```
data_UB
_chemical_formula_sum 'U3 B3'
_symmetry_space_group_name_H-M 'R -3 m'
_symmetry_Int_Tables_number 166
_symmetry_space_group_name_Hall '-R 3 2"'
_cell_length_a 3.5440
_cell_length_b 3.5440
_cell_length_c 8.8278
_cell_angle_alpha 90.00
_cell_angle_beta 90.00
_cell_angle_gamma 120.00
loop_
_atom_site_label
_atom_site_fract_x
_atom_site_fract_y
_atom_site_fract_z
_atom_site_occupancy
U1 0.0000 0.0000 0.0000 1
B1 0.0000 0.0000 0.5000 1
```


A geometry-optimized UB4W structure, computed with PBE.

Output
Uncorrected energy ... -8.99 eV/atom
V ... 10.42 Å³ per atom

Geometry as CIF:
```
data_UB4W
_chemical_formula_sum 'U4 B16 W4'
_symmetry_space_group_name_H-M 'P b a m'
_symmetry_Int_Tables_number 55
_cell_length_a 5.966
_cell_length_b 11.481
_cell_length_c 3.652
_cell_angle_alpha 90.00
_cell_angle_beta 90.00
_cell_angle_gamma 90.00
loop_
_symmetry_equiv_pos_as_xyz
'x,y,z'
'-x,-y,-z'
'-x,-y,z'
'x,y,-z'
'x+1/2,-y+1/2,-z'
'-x+1/2,y+1/2,z'
'-x+1/2,y+1/2,-z'
'x+1/2,-y+1/2,z'
loop_
_atom_site_label
_atom_site_fract_x
_atom_site_fract_y
_atom_site_fract_z
_atom_site_occupancy
U1 0.128 0.150 0.000 1
B1 0.026 0.693 0.500 1
B2 0.115 0.547 0.500 1
B3 0.132 0.968 0.500 1
B4 0.207 0.812 0.500 1
W1 0.138 0.408 0.000 1
```


A geometry-optimized UB4W structure, computed with PBE.

Output
Uncorrected energy ... -9.00 eV/atom
V ... 10.48 Å³ per atom

Geometry as CIF:
```
data_UB4W
_chemical_formula_sum 'U4 B16 W4'
_symmetry_space_group_name_H-M 'C m m m'
_symmetry_Int_Tables_number 65
_symmetry_space_group_name_Hall '-C 2 2'
_cell_length_a 7.353
_cell_length_b 9.380
_cell_length_c 3.645
_cell_angle_alpha 90.00
_cell_angle_beta 90.00
_cell_angle_gamma 90.00
loop_
_atom_site_label
_atom_site_fract_x
_atom_site_fract_y
_atom_site_fract_z
_atom_site_occupancy
U1 0.000 0.199 0.000 1
B1 0.000 0.406 0.500 1
B2 0.119 0.000 0.500 1
B3 0.224 0.340 0.500 1
W1 0.182 0.500 0.000 1
```


Number 1: energy above the most stable polymorph in this dataset 0.000 eV/atom. Number 2: energy above the most stable polymorph in this dataset 0.397 eV/atom. Number 3: energy above the most stable polymorph in this dataset 0.645 eV/atom. Number 4: energy above the most stable polymorph in this dataset 0.000 eV/atom. Number 5: energy above the most stable polymorph in this dataset 0.003 eV/atom. Number 6: energy above the most stable polymorph in this dataset 0.000 eV/atom.